Record 1
GGA-PBE AgPtCl2, relaxed; offset from the most stable computed form = 243.0 meV/atom; magnetic moment = 0.000 μB per cell; formation energy (no corrections) = 118.9 meV per atom; volume = 22.4 Å³/atom; space group = Cmmm
1.0
3.734 -0.019 0.000
-2.204 3.014 0.000
0.000 0.000 8.009
Cl Ag Pt
2 1 1
Direct
0.000 0.000 0.462
0.000 0.000 0.038
0.500 0.500 0.750
0.500 0.500 0.250

Record 2
GGA-PBE Cr2OsRu, relaxed; offset from the most stable computed form = 52.8 meV/atom; magnetic moment = 0.002 μB per cell; volume = 13.1 Å³/atom; energy of formation from the pure elements = 147.1 meV/atom; space group = P2/m
1.0
2.668 0.000 0.000
0.000 4.622 0.007
0.000 3.089 4.265
Os Cr Ru
1 2 1
Direct
0.500 0.500 0.500
0.000 0.000 0.000
0.500 0.500 0.000
0.000 0.000 0.500

Record 3
GGA-PBE KSc2Al, relaxed; magnetic moment = 0.000 μB per cell; volume = 30.1 Å³/atom; energy of formation from the pure elements = 234.3 meV/atom; space group = C2/m
1.0
4.954 0.000 0.007
3.829 3.143 0.007
0.648 0.232 7.742
Al Sc K
1 2 1
Direct
0.750 0.750 0.750
0.477 0.477 0.592
0.023 0.023 0.908
0.250 0.250 0.250

Record 4
GGA-PBE Ac2TmSi3Rh4, relaxed; magnetic moment = 0.000 μB per cell; formation energy (no corrections) = -941.1 meV per atom; volume = 19.8 Å³/atom; space group = P-4m2
1.0
-3.897 1.666 0.251
-0.912 -2.618 3.215
3.671 7.509 7.157
Si Rh Tm Ac
3 4 1 2
Direct
0.000 0.000 0.500
0.000 0.500 0.115
0.500 0.000 0.885
0.000 0.000 0.000
0.500 0.500 0.000
0.000 0.500 0.344
0.500 0.000 0.656
0.500 0.500 0.500
0.000 0.500 0.762
0.500 0.000 0.238

Raw total energy for the records above, in order: -3.03; -9.79; -4.14; -6.78 eV/atom